Entry from Alexandria via LeMat-Bulk: a relaxed structure of SrLa2Te (PBE).

Cell and atoms, written as CIF:
```
data_SrLa2Te
_space_group_name_H-M_alt 'P 1'
_space_group_IT_number 1
_space_group_name_Hall 'P 1'
_cell_length_a 4.083
_cell_length_b 4.083
_cell_length_c 9.040
_cell_angle_alpha 90.00
_cell_angle_beta 90.00
_cell_angle_gamma 90.00
loop_
_atom_site_label
_atom_site_fract_x
_atom_site_fract_y
_atom_site_fract_z
Sr1 0.000 0.000 0.539
La1 0.500 0.500 0.219
La2 0.000 0.000 0.962
Te1 0.500 0.500 0.780
```

Electronic total energy in eV per atom: -4.291
Density of states at the Fermi level in states/eV per cell: 6.0
Total moment in μB per cell: 0.01